No. 1
DFT (PBE-GGA) results for a relaxed GdEr2Be crystal.

Computed properties:
- Electronic total energy: -72.5 eV/cell
- N(E_F): 14.13 states/eV/cell
- Energy relative to the lowest polymorph listed for this composition: 630 meV per atom
- Magnetic moment: 1.748 μB/atom

Unit cell a=3.4117 b=3.4117 c=33.9539 alpha=90.00 beta=90.00 gamma=120.00
Atoms (fractional coordinates):
Gd1 0.0000 0.0000 0.0000
Gd2 0.3333 0.6667 0.6667
Gd3 0.6667 0.3333 0.3333
Er1 0.0000 0.0000 0.4160
Er2 0.0000 0.0000 0.5840
Er3 0.3333 0.6667 0.0827
Er4 0.3333 0.6667 0.2506
Er5 0.6667 0.3333 0.7494
Er6 0.6667 0.3333 0.9173
Be1 0.0000 0.0000 0.5000
Be2 0.3333 0.6667 0.1667
Be3 0.6667 0.3333 0.8333

=====

No. 2
DFT (PBE-GGA) results for a relaxed GdEr2Be crystal.

Computed properties:
- Electronic total energy: -26.7 eV/cell
- N(E_F): 4.65 states/eV/cell
- Energy relative to the lowest polymorph listed for this composition: 0 meV per atom
- Magnetic moment: 1.905 μB/atom

Unit cell a=3.4352 b=3.4352 c=8.6126 alpha=90.00 beta=90.00 gamma=90.00
Atoms (fractional coordinates):
Gd1 0.0000 0.0000 0.0000
Er1 0.5000 0.5000 0.3101
Er2 0.5000 0.5000 0.6899
Be1 0.0000 0.0000 0.5000

=====

No. 3
DFT (PBE-GGA) results for a relaxed GdErBeHg crystal.

Computed properties:
- Electronic total energy: -92.6 eV/cell
- N(E_F): 14.49 states/eV/cell
- Magnetic moment: 1.905 μB/atom

Unit cell a=7.2070 b=7.2070 c=7.2070 alpha=90.00 beta=90.00 gamma=90.00
Atoms (fractional coordinates):
Gd1 0.0000 0.0000 0.0000
Gd2 0.0000 0.5000 0.5000
Gd3 0.5000 0.0000 0.5000
Gd4 0.5000 0.5000 0.0000
Er1 0.0000 0.0000 0.5000
Er2 0.0000 0.5000 0.0000
Er3 0.5000 0.0000 0.0000
Er4 0.5000 0.5000 0.5000
Be1 0.2500 0.2500 0.7500
Be2 0.2500 0.7500 0.2500
Be3 0.7500 0.2500 0.2500
Be4 0.7500 0.7500 0.7500
Hg1 0.2500 0.2500 0.2500
Hg2 0.2500 0.7500 0.7500
Hg3 0.7500 0.2500 0.7500
Hg4 0.7500 0.7500 0.2500

=====

> N(E_F) of number 3 (GdErBeHg)?

14.49 states/eV/cell

=====

> Which value of N(E_F) does entry 2 give?

4.65 states/eV/cell